This record from the Alexandria database describes a relaxed FePb2Se crystal. The functional is PBE-GGA.

a b c (Å): 8.5106 8.5106 8.5106
angles (deg): 156.36 155.80 34.08
Fractional coordinates of all 4 atoms:
1 Fe 0.0000 0.0000 0.0000
2 Pb 0.1689 0.6689 0.5000
3 Pb 0.8311 0.3311 0.5000
4 Se 0.5000 0.5000 0.0000

Results
theoretical density: 9.01 g/cm³
D(E_F): 1.16 states/eV/atom
electronic total energy: -4.69 eV/atom
formation energy (no corrections): 0.155 eV/atom
calculated volume: 101.2 Å³ per cell

---

This record from the Alexandria database describes a relaxed FePbSe crystal. The functional is PBE-GGA.

a b c (Å): 4.5638 4.5638 4.5638
angles (deg): 60.00 60.00 60.00
Fractional coordinates of all 3 atoms:
1 Fe 0.0000 0.0000 0.0000
2 Pb 0.7500 0.7500 0.7500
3 Se 0.2500 0.2500 0.2500

Results
theoretical density: 8.45 g/cm³
D(E_F): 1.36 states/eV/atom
electronic total energy: -4.94 eV/atom
energy relative to the lowest polymorph listed for this composition: 20.1 kJ per mole of atoms
formation energy (no corrections): 0.274 eV/atom
calculated volume: 67.2 Å³ per cell

---

This record from the Alexandria database describes a relaxed FePbSe2 crystal. The functional is PBE-GGA.

a b c (Å): 6.6113 6.6113 6.6113
angles (deg): 144.55 144.55 51.01
Fractional coordinates of all 4 atoms:
1 Fe 0.0000 0.0000 0.0000
2 Pb 0.2500 0.7500 0.5000
3 Se 0.5000 0.5000 0.0000
4 Se 0.7500 0.2500 0.5000

Results
theoretical density: 7.23 g/cm³
D(E_F): 1.22 states/eV/atom
electronic total energy: -4.45 eV/atom
formation energy (no corrections): 0.330 eV/atom
calculated volume: 96.7 Å³ per cell

---

This record from the Alexandria database describes a relaxed Fe2PbSe crystal. The functional is PBE-GGA.

a b c (Å): 6.7112 6.7112 6.7112
angles (deg): 33.06 33.06 33.06
Fractional coordinates of all 4 atoms:
1 Fe 0.0000 0.0000 0.0000
2 Fe 0.3115 0.3115 0.3115
3 Pb 0.7653 0.7653 0.7653
4 Se 0.5879 0.5879 0.5879

Results
theoretical density: 8.25 g/cm³
D(E_F): 0.60 states/eV/atom
electronic total energy: -5.87 eV/atom
energy relative to the lowest polymorph listed for this composition: 3.7 kJ per mole of atoms
formation energy (no corrections): 0.163 eV/atom
calculated volume: 80.1 Å³ per cell

---

This record from the Alexandria database describes a relaxed FePb2Se crystal. The functional is PBE-GGA.

a b c (Å): 5.1901 5.1901 3.5652
angles (deg): 90.00 90.00 90.00
Fractional coordinates of all 4 atoms:
1 Fe 0.0000 0.0000 0.0000
2 Pb 0.0000 0.5000 0.5000
3 Pb 0.5000 0.0000 0.5000
4 Se 0.5000 0.5000 0.0000

Results
theoretical density: 9.50 g/cm³
D(E_F): 0.77 states/eV/atom
electronic total energy: -4.50 eV/atom
formation energy (no corrections): 0.345 eV/atom
calculated volume: 96.0 Å³ per cell

---

This record from the Alexandria database describes a relaxed FePbSe2 crystal. The functional is PBE-GGA.

a b c (Å): 6.1706 6.1706 6.1706
angles (deg): 108.46 108.46 111.51
Fractional coordinates of all 8 atoms:
1 Fe 0.0000 0.0000 0.0000
2 Fe 0.7500 0.2500 0.5000
3 Pb 0.2500 0.7500 0.5000
4 Pb 0.5000 0.5000 0.0000
5 Se 0.0244 0.6250 0.8994
6 Se 0.3750 0.2744 0.3994
7 Se 0.7256 0.1250 0.1006
8 Se 0.8750 0.9756 0.6006

Results
theoretical density: 7.74 g/cm³
D(E_F): 0.48 states/eV/atom
electronic total energy: -4.92 eV/atom
formation energy (no corrections): -0.139 eV/atom
calculated volume: 180.7 Å³ per cell

---

This record from the Alexandria database describes a relaxed FePbSe2 crystal. The functional is PBE-GGA.

a b c (Å): 3.3185 3.3185 7.6016
angles (deg): 90.00 90.00 90.00
Fractional coordinates of all 4 atoms:
1 Fe 0.0000 0.0000 0.0000
2 Pb 0.0000 0.0000 0.5000
3 Se 0.5000 0.5000 0.1952
4 Se 0.5000 0.5000 0.8048

Results
theoretical density: 8.35 g/cm³
D(E_F): 0.72 states/eV/atom
electronic total energy: -4.70 eV/atom
formation energy (no corrections): 0.083 eV/atom
calculated volume: 83.7 Å³ per cell

---

This record from the Alexandria database describes a relaxed FePbSe2 crystal. The functional is PBE-GGA.

a b c (Å): 3.4978 5.0459 5.0913
angles (deg): 90.00 90.00 90.00
Fractional coordinates of all 4 atoms:
1 Fe 0.0000 0.0000 0.0000
2 Pb 0.0000 0.5000 0.5000
3 Se 0.5000 0.0000 0.5000
4 Se 0.5000 0.5000 0.0000

Results
theoretical density: 7.78 g/cm³
D(E_F): 1.34 states/eV/atom
electronic total energy: -4.51 eV/atom
formation energy (no corrections): 0.273 eV/atom
calculated volume: 89.9 Å³ per cell

---

This record from the Alexandria database describes a relaxed Fe2PbSe crystal. The functional is PBE-GGA.

a b c (Å): 6.6368 6.6368 6.6368
angles (deg): 32.51 32.51 32.51
Fractional coordinates of all 4 atoms:
1 Fe 0.2257 0.2257 0.2257
2 Fe 0.7743 0.7743 0.7743
3 Pb 0.0000 0.0000 0.0000
4 Se 0.5000 0.5000 0.5000

Results
theoretical density: 8.80 g/cm³
D(E_F): 1.15 states/eV/atom
electronic total energy: -5.70 eV/atom
energy relative to the lowest polymorph listed for this composition: 20.2 kJ per mole of atoms
formation energy (no corrections): 0.334 eV/atom
calculated volume: 75.1 Å³ per cell

---

This record from the Alexandria database describes a relaxed FePbSe2 crystal. The functional is PBE-GGA.

a b c (Å): 3.0974 3.0974 9.1795
angles (deg): 90.00 90.00 90.00
Fractional coordinates of all 4 atoms:
1 Fe 0.0000 0.0000 0.0000
2 Pb 0.5000 0.5000 0.2430
3 Se 0.0000 0.0000 0.5315
4 Se 0.5000 0.5000 0.8867

Results
theoretical density: 7.94 g/cm³
D(E_F): 1.00 states/eV/atom
electronic total energy: -4.62 eV/atom
formation energy (no corrections): 0.168 eV/atom
calculated volume: 88.1 Å³ per cell

---

This record from the Alexandria database describes a relaxed FePbSe2 crystal. The functional is PBE-GGA.

a b c (Å): 4.9728 4.9728 4.9728
angles (deg): 60.00 60.00 60.00
Fractional coordinates of all 4 atoms:
1 Fe 0.0000 0.0000 0.0000
2 Pb 0.2500 0.2500 0.2500
3 Se 0.5000 0.5000 0.5000
4 Se 0.7500 0.7500 0.7500

Results
theoretical density: 8.04 g/cm³
D(E_F): 1.10 states/eV/atom
electronic total energy: -4.24 eV/atom
formation energy (no corrections): 0.547 eV/atom
calculated volume: 87.0 Å³ per cell

---

This record from the Alexandria database describes a relaxed FePb2Se crystal. The functional is PBE-GGA.

a b c (Å): 5.2005 5.2005 3.5618
angles (deg): 90.00 90.00 96.41
Fractional coordinates of all 4 atoms:
1 Fe 0.0000 0.0000 0.0000
2 Pb 0.0000 0.5000 0.5000
3 Pb 0.5000 0.0000 0.5000
4 Se 0.5000 0.5000 0.0000

Results
theoretical density: 9.53 g/cm³
D(E_F): 0.79 states/eV/atom
electronic total energy: -4.50 eV/atom
formation energy (no corrections): 0.344 eV/atom
calculated volume: 95.7 Å³ per cell

---

This record from the Alexandria database describes a relaxed Fe2PbSe crystal. The functional is PBE-GGA.

a b c (Å): 3.4757 3.9921 5.6635
angles (deg): 90.00 96.92 90.00
Fractional coordinates of all 4 atoms:
1 Fe 0.2409 0.0000 0.3375
2 Fe 0.7591 0.0000 0.6625
3 Pb 0.5000 0.5000 0.0000
4 Se 0.0000 0.5000 0.5000

Results
theoretical density: 8.47 g/cm³
D(E_F): 0.79 states/eV/atom
electronic total energy: -5.61 eV/atom
energy relative to the lowest polymorph listed for this composition: 28.2 kJ per mole of atoms
formation energy (no corrections): 0.417 eV/atom
calculated volume: 78.0 Å³ per cell

---

This record from the Alexandria database describes a relaxed Fe2PbSe crystal. The functional is PBE-GGA.

a b c (Å): 3.1882 3.1751 7.6983
angles (deg): 90.00 90.43 90.00
Fractional coordinates of all 4 atoms:
1 Fe 0.0000 0.0000 0.0000
2 Fe 0.4967 0.5000 0.8430
3 Pb 0.5048 0.5000 0.2532
4 Se 0.9948 0.0000 0.6837

Results
theoretical density: 8.48 g/cm³
D(E_F): 1.09 states/eV/atom
electronic total energy: -5.90 eV/atom
energy relative to the lowest polymorph listed for this composition: 0.0 kJ per mole of atoms
formation energy (no corrections): 0.125 eV/atom
calculated volume: 77.9 Å³ per cell

---

This record from the Alexandria database describes a relaxed FePb2Se crystal. The functional is PBE-GGA.

a b c (Å): 5.7106 3.2974 5.9141
angles (deg): 90.00 118.69 90.00
Fractional coordinates of all 4 atoms:
1 Fe 0.0000 0.0000 0.0000
2 Pb 0.2200 0.5000 0.4405
3 Pb 0.5172 0.0000 0.0345
4 Se 0.8404 0.5000 0.6810

Results
theoretical density: 9.34 g/cm³
D(E_F): 0.87 states/eV/atom
electronic total energy: -4.74 eV/atom
formation energy (no corrections): 0.101 eV/atom
calculated volume: 97.7 Å³ per cell